This record from Alexandria via LeMat-Bulk describes a relaxed MnB2F crystal. The functional is PBE+U.

a = 5.180 Å, b = 5.180 Å, c = 4.847 Å
α = 57.71°, β = 57.71°, γ = 90.00°
Fractional positions:
B 0.597 0.125 0.250
B 0.375 0.403 0.750
B 0.153 0.625 0.250
B 0.875 0.847 0.750
F 0.500 0.500 0.000
F 0.250 0.750 0.500
Mn 0.000 0.000 0.000
Mn 0.750 0.250 0.500

**Energy**: -4.5798 eV/atom
**D(E_F)**: 0.303 states/eV/atom
**ΔE to the lowest computed polymorph**: 0.00 kcal/mol of atoms
**Spin magnetization**: 4.54 μB per cell
**Space group**: I-42d (122)